(1)
VASP calculation (GGA-PBE) on a relaxed Na2ScAg crystal.

Results
Total magnetization in μB per formula unit: 0.94
Energy in hartree per atom: -0.0941
Relative energy among the computed polymorphs in eV/atom: 0.000
ρ in g cm⁻³: 3.4
Formation energy from the elements in meV per atom: 395

Unit cell a=7.2825 b=7.2825 c=7.2825 alpha=90.00 beta=90.00 gamma=90.00
With the nearest neighbours (Å) after each atom.
Space group Fm-3m (No. 225)
Inequivalent atoms, fractional coordinates:
Na 0.2500 0.2500 0.2500 [8 per cell]  4 Sc 3.15, 4 Ag 3.15
Sc 0.0000 0.0000 0.0000 [4 per cell]  8 Na 3.15
Ag 0.0000 0.0000 0.5000 [4 per cell]  8 Na 3.15

***

(2)
VASP calculation (GGA-PBE) on a relaxed Ac2ErCdS6 crystal.

Results
Total magnetization in μB per formula unit: 0.00
Energy in hartree per atom: -0.2013
ρ in g cm⁻³: 6.0
Formation energy without anion corrections in eV/f.u.: -16.32

Unit cell a=6.8853 b=7.6393 c=11.6971 alpha=90.00 beta=123.48 gamma=90.00
With the nearest neighbours (Å) after each atom.
Space group P2_1/c (No. 14)
Inequivalent atoms, fractional coordinates:
Ac 0.2064 0.0993 0.2445 [4 per cell]  7 S 2.98-3.32
Er 0.5000 0.0000 0.0000 [2 per cell]  6 S 2.65-2.72
Cd 0.0000 0.0000 0.5000 [2 per cell]  6 S 2.61-2.79
S 0.1233 0.1807 0.9417 [4 per cell]  1 Er 2.67, 1 Cd 2.79
S 0.2649 0.6913 0.9380 [4 per cell]  1 Er 2.72, 1 Cd 2.73, 1 Ac 3.03
S 0.3784 0.0426 0.7438 [4 per cell]  1 Cd 2.61, 1 Er 2.65